(1)
# NaSbS3

A relaxed structure of NaSbS3 (PBE, the Alexandria database).

```
NaSbS3
1.0
3.714 0.000 0.000
0.000 8.418 0.000
0.000 0.000 16.533
S Sb Na
12 4 4
Cartesian
0.929 5.591 0.889
2.786 7.687 15.253
2.786 2.996 4.559
2.786 7.205 3.708
0.929 1.382 7.378
0.929 1.213 12.825
0.929 0.731 1.280
0.929 4.940 6.986
2.786 2.827 15.644
2.786 3.478 9.547
0.929 5.422 11.975
2.786 7.035 9.156
2.786 7.259 1.316
2.786 3.050 6.951
0.929 5.367 9.582
0.929 1.158 15.217
0.929 5.036 3.837
2.786 3.382 12.696
0.929 0.827 4.430
2.786 7.590 12.103
```

E_form (uncorrected) (eV per atom): -0.391
Space group: No. 62

---

(2)
# ZrBe2V2

A relaxed structure of ZrBe2V2 (PBE, the Alexandria database).

```
ZrBe2V2
1.0
6.730 0.000 0.000
0.000 6.730 0.000
0.000 0.000 2.953
V Be Zr
4 4 2
Cartesian
5.544 2.179 1.477
4.551 5.544 1.477
2.179 1.186 1.477
1.186 4.551 1.477
5.975 4.119 0.000
4.119 0.754 0.000
2.610 5.975 0.000
0.754 2.610 0.000
3.365 3.365 0.000
0.000 0.000 0.000
```

Space group: No. 127
Energy of formation (eV per atom): 0.076

---

(3)
# Pr3DyEr8

A relaxed structure of Pr3DyEr8 (PBE, the Alexandria database).

```
Pr3DyEr8
1.0
7.573 -0.422 -3.553
-4.410 7.009 -1.255
-0.266 0.422 8.361
Er Pr Dy
8 3 1
Cartesian
2.609 1.512 -0.089
5.116 0.566 -1.817
0.173 2.643 1.736
-1.334 2.120 6.107
-3.013 4.789 6.577
-4.054 6.443 4.162
-3.458 5.497 1.177
0.405 5.312 3.464
-2.338 3.716 3.553
2.485 1.858 4.180
0.413 5.151 -0.628
3.163 6.587 -4.808
```

Space group: No. 121
Energy of formation (eV per atom): 0.629

---

(4)
# HgN

A relaxed structure of HgN (PBE, the Alexandria database).

```
HgN
1.0
4.858 0.000 0.000
0.000 4.858 0.000
0.000 0.000 4.858
Hg N
4 4
Cartesian
0.000 0.000 2.429
2.429 0.000 0.000
2.429 2.429 2.429
0.000 2.429 0.000
0.000 2.429 2.429
2.429 0.000 2.429
0.000 0.000 0.000
2.429 2.429 0.000
```

E_form (uncorrected) (eV per atom): 1.582
Space group: No. 225

---

no.,volume (Å³/atom),DFT total energy (eV per atom)
1,25.85,-3.96
2,13.37,-6.77
3,36.01,-3.99
4,14.33,-2.73